1.
First-principles (PBE-GGA) data for a geometry-optimized K3CdCu2Cl9 structure, as listed in Alexandria via LeMat-Bulk.

Cell and atoms, written as CIF:
```
data_K3CdCu2Cl9
_space_group_name_H-M_alt 'P -3 m 1'
_space_group_IT_number 164
_space_group_name_Hall '-P 3 2"'
_cell_length_a 7.0393
_cell_length_b 7.0393
_cell_length_c 8.6735
_cell_angle_alpha 90.00
_cell_angle_beta 90.00
_cell_angle_gamma 120.00
loop_
_atom_site_label
_atom_site_type_symbol
_atom_site_fract_x
_atom_site_fract_y
_atom_site_fract_z
K1 K 0.0000 0.0000 0.0000
K2 K 0.3333 0.6667 0.6705
Cd1 Cd 0.0000 0.0000 0.5000
Cu1 Cu 0.3333 0.6667 0.1557
Cl1 Cl 0.0000 0.5000 0.0000
Cl2 Cl 0.1723 0.3447 0.3213
```

Summary:
E in eV/atom: -3.107

---

2.
First-principles (PBE-GGA) data for a geometry-optimized PmTmTlPt structure, as listed in Alexandria via LeMat-Bulk.

Cell and atoms, written as CIF:
```
data_PmTmTlPt
_space_group_name_H-M_alt 'F -4 3 m'
_space_group_IT_number 216
_space_group_name_Hall 'F -4 2 3'
_cell_length_a 7.335
_cell_length_b 7.335
_cell_length_c 7.335
_cell_angle_alpha 90.00
_cell_angle_beta 90.00
_cell_angle_gamma 90.00
loop_
_atom_site_label
_atom_site_type_symbol
_atom_site_fract_x
_atom_site_fract_y
_atom_site_fract_z
Pm1 Pm 0.000 0.000 0.000
Tm1 Tm 0.000 0.000 0.500
Tl1 Tl 0.250 0.250 0.750
Pt1 Pt 0.250 0.250 0.250
```

Summary:
E in eV/atom: -5.067

---

3.
First-principles (PBE-GGA) data for a geometry-optimized RbPbOF structure, as listed in Alexandria via LeMat-Bulk.

Cell and atoms, written as CIF:
```
data_RbPbOF
_space_group_name_H-M_alt 'P m m m'
_space_group_IT_number 47
_space_group_name_Hall '-P 2 2'
_cell_length_a 3.808
_cell_length_b 4.549
_cell_length_c 5.079
_cell_angle_alpha 90.00
_cell_angle_beta 90.00
_cell_angle_gamma 90.00
loop_
_atom_site_label
_atom_site_type_symbol
_atom_site_fract_x
_atom_site_fract_y
_atom_site_fract_z
Rb1 Rb 0.000 0.000 0.000
Pb1 Pb 0.500 0.500 0.500
O1 O 0.500 0.000 0.500
F1 F 0.500 0.500 0.000
```

Summary:
E in eV/atom: -4.456

---

4.
First-principles (PBE-GGA) data for a geometry-optimized Zr12In5Bi3 structure, as listed in Alexandria via LeMat-Bulk.

Cell and atoms, written as CIF:
```
data_Zr12In5Bi3
_space_group_name_H-M_alt 'I a -3 d'
_space_group_IT_number 230
_space_group_name_Hall '-I 4bd 2c 3'
_cell_length_a 16.900
_cell_length_b 16.900
_cell_length_c 16.900
_cell_angle_alpha 90.00
_cell_angle_beta 90.00
_cell_angle_gamma 90.00
loop_
_atom_site_label
_atom_site_type_symbol
_atom_site_fract_x
_atom_site_fract_y
_atom_site_fract_z
Zr1 Zr 0.008 0.074 0.651
In1 In 0.000 0.000 0.000
In2 In 0.000 0.250 0.375
Bi1 Bi 0.000 0.250 0.125
```

Summary:
E in eV/atom: -5.878

---

5.
First-principles (PBE-GGA) data for a geometry-optimized LaCrRh structure, as listed in Alexandria via LeMat-Bulk.

Cell and atoms, written as CIF:
```
data_LaCrRh
_space_group_name_H-M_alt 'I 4 m m'
_space_group_IT_number 107
_space_group_name_Hall 'I 4 -2'
_cell_length_a 3.488
_cell_length_b 3.488
_cell_length_c 10.404
_cell_angle_alpha 90.00
_cell_angle_beta 90.00
_cell_angle_gamma 90.00
loop_
_atom_site_label
_atom_site_type_symbol
_atom_site_fract_x
_atom_site_fract_y
_atom_site_fract_z
La1 La 0.000 0.000 0.000
Cr1 Cr 0.000 0.000 0.714
Rh1 Rh 0.000 0.000 0.299
```

Summary:
Energy above the most stable polymorph in this dataset in eV per atom: 0.179

---

6.
First-principles (PBE-GGA) data for a geometry-optimized Mo2WAu structure, as listed in Alexandria via LeMat-Bulk.

Cell and atoms, written as CIF:
```
data_Mo2WAu
_space_group_name_H-M_alt 'P 4/m m m'
_space_group_IT_number 123
_space_group_name_Hall '-P 4 2'
_cell_length_a 2.694
_cell_length_b 2.694
_cell_length_c 9.063
_cell_angle_alpha 90.00
_cell_angle_beta 90.00
_cell_angle_gamma 90.00
loop_
_atom_site_label
_atom_site_type_symbol
_atom_site_fract_x
_atom_site_fract_y
_atom_site_fract_z
Mo1 Mo 0.000 0.000 0.250
W1 W 0.500 0.500 0.000
Au1 Au 0.500 0.500 0.500
```

Summary:
Energy above the most stable polymorph in this dataset in eV per atom: 0.128

---

7.
First-principles (PBE-GGA) data for a geometry-optimized YBeNbIr2 structure, as listed in Alexandria via LeMat-Bulk.

Cell and atoms, written as CIF:
```
data_YBeNbIr2
_space_group_name_H-M_alt 'P 4/m m m'
_space_group_IT_number 123
_space_group_name_Hall '-P 4 2'
_cell_length_a 4.244
_cell_length_b 4.244
_cell_length_c 4.626
_cell_angle_alpha 90.00
_cell_angle_beta 90.00
_cell_angle_gamma 90.00
loop_
_atom_site_label
_atom_site_type_symbol
_atom_site_fract_x
_atom_site_fract_y
_atom_site_fract_z
Y1 Y 0.000 0.000 0.000
Be1 Be 0.000 0.000 0.500
Nb1 Nb 0.500 0.500 0.000
Ir1 Ir 0.000 0.500 0.500
```

Summary:
Energy above the most stable polymorph in this dataset in eV per atom: 0.230

---

8.
First-principles (PBE-GGA) data for a geometry-optimized Ta3VTe structure, as listed in Alexandria via LeMat-Bulk.

Cell and atoms, written as CIF:
```
data_Ta3VTe
_space_group_name_H-M_alt 'P m -3 m'
_space_group_IT_number 221
_space_group_name_Hall '-P 4 2 3'
_cell_length_a 4.973
_cell_length_b 4.973
_cell_length_c 4.973
_cell_angle_alpha 90.00
_cell_angle_beta 90.00
_cell_angle_gamma 90.00
loop_
_atom_site_label
_atom_site_type_symbol
_atom_site_fract_x
_atom_site_fract_y
_atom_site_fract_z
Ta1 Ta 0.000 0.000 0.500
V1 V 0.500 0.500 0.500
Te1 Te 0.000 0.000 0.000
```

Summary:
Energy above the most stable polymorph in this dataset in eV per atom: 0.873

---

9.
First-principles (PBE-GGA) data for a geometry-optimized NaHfFe2 structure, as listed in Alexandria via LeMat-Bulk.

Cell and atoms, written as CIF:
```
data_NaHfFe2
_space_group_name_H-M_alt 'F m -3 m'
_space_group_IT_number 225
_space_group_name_Hall '-F 4 2 3'
_cell_length_a 6.414
_cell_length_b 6.414
_cell_length_c 6.414
_cell_angle_alpha 90.00
_cell_angle_beta 90.00
_cell_angle_gamma 90.00
loop_
_atom_site_label
_atom_site_type_symbol
_atom_site_fract_x
_atom_site_fract_y
_atom_site_fract_z
Na1 Na 0.000 0.000 0.000
Hf1 Hf 0.000 0.000 0.500
Fe1 Fe 0.250 0.250 0.250
```

Summary:
Energy above the most stable polymorph in this dataset in eV per atom: 0.000

---

10.
First-principles (PBE-GGA) data for a geometry-optimized Ce2ZrO6 structure, as listed in Alexandria via LeMat-Bulk.

Cell and atoms, written as CIF:
```
data_Ce2ZrO6
_space_group_name_H-M_alt 'P -3 m 1'
_space_group_IT_number 164
_space_group_name_Hall '-P 3 2"'
_cell_length_a 3.8061
_cell_length_b 3.8061
_cell_length_c 9.2079
_cell_angle_alpha 90.00
_cell_angle_beta 90.00
_cell_angle_gamma 120.00
loop_
_atom_site_label
_atom_site_type_symbol
_atom_site_fract_x
_atom_site_fract_y
_atom_site_fract_z
Ce1 Ce 0.3333 0.6667 0.1745
Zr1 Zr 0.0000 0.0000 0.5000
O1 O 0.0000 0.0000 0.2638
O2 O 0.3333 0.6667 0.4292
O3 O 0.3333 0.6667 0.9126
```

Summary:
Energy above the most stable polymorph in this dataset in eV per atom: 0.000

---

11.
First-principles (PBE-GGA) data for a geometry-optimized PSeN3 structure, as listed in Alexandria via LeMat-Bulk.

Cell and atoms, written as CIF:
```
data_PSeN3
_space_group_name_H-M_alt 'P m -3 m'
_space_group_IT_number 221
_space_group_name_Hall '-P 4 2 3'
_cell_length_a 3.536
_cell_length_b 3.536
_cell_length_c 3.536
_cell_angle_alpha 90.00
_cell_angle_beta 90.00
_cell_angle_gamma 90.00
loop_
_atom_site_label
_atom_site_type_symbol
_atom_site_fract_x
_atom_site_fract_y
_atom_site_fract_z
P1 P 0.000 0.000 0.000
Se1 Se 0.500 0.500 0.500
N1 N 0.000 0.000 0.500
```

Summary:
E in eV/atom: -5.469

---

12.
First-principles (PBE-GGA) data for a geometry-optimized YCo3Si3 structure, as listed in Alexandria via LeMat-Bulk.

Cell and atoms, written as CIF:
```
data_YCo3Si3
_space_group_name_H-M_alt 'P m -3 n'
_space_group_IT_number 223
_space_group_name_Hall '-P 4n 2 3'
_cell_length_a 6.168
_cell_length_b 6.168
_cell_length_c 6.168
_cell_angle_alpha 90.00
_cell_angle_beta 90.00
_cell_angle_gamma 90.00
loop_
_atom_site_label
_atom_site_type_symbol
_atom_site_fract_x
_atom_site_fract_y
_atom_site_fract_z
Y1 Y 0.000 0.000 0.000
Co1 Co 0.000 0.250 0.500
Si1 Si 0.000 0.500 0.250
```

Summary:
E in eV/atom: -6.471

---

13.
First-principles (PBE-GGA) data for a geometry-optimized DyY2HoAs4 structure, as listed in Alexandria via LeMat-Bulk.

Cell and atoms, written as CIF:
```
data_DyY2HoAs4
_space_group_name_H-M_alt 'P 1 2/m 1'
_space_group_IT_number 10
_space_group_name_Hall '-P 2y'
_cell_length_a 7.129
_cell_length_b 4.118
_cell_length_c 7.129
_cell_angle_alpha 90.00
_cell_angle_beta 109.46
_cell_angle_gamma 90.00
loop_
_atom_site_label
_atom_site_type_symbol
_atom_site_fract_x
_atom_site_fract_y
_atom_site_fract_z
Dy1 Dy 0.000 0.000 0.000
Y1 Y 0.000 0.500 0.500
Y2 Y 0.500 0.000 0.500
Ho1 Ho 0.500 0.500 0.000
As1 As 0.250 0.500 0.249
As2 As 0.251 0.000 0.752
```

Summary:
E in eV/atom: -6.634

---

14.
First-principles (PBE-GGA) data for a geometry-optimized HfV2Ga4 structure, as listed in Alexandria via LeMat-Bulk.

Cell and atoms, written as CIF:
```
data_HfV2Ga4
_space_group_name_H-M_alt 'I m m m'
_space_group_IT_number 71
_space_group_name_Hall '-I 2 2'
_cell_length_a 5.196
_cell_length_b 6.445
_cell_length_c 6.460
_cell_angle_alpha 90.00
_cell_angle_beta 90.00
_cell_angle_gamma 90.00
loop_
_atom_site_label
_atom_site_type_symbol
_atom_site_fract_x
_atom_site_fract_y
_atom_site_fract_z
Hf1 Hf 0.000 0.000 0.000
V1 V 0.249 0.500 0.000
Ga1 Ga 0.000 0.302 0.302
```

Summary:
E in eV/atom: -6.095

---

15.
First-principles (PBE-GGA) data for a geometry-optimized AlMoPt2 structure, as listed in Alexandria via LeMat-Bulk.

Cell and atoms, written as CIF:
```
data_AlMoPt2
_space_group_name_H-M_alt 'I -4 m 2'
_space_group_IT_number 119
_space_group_name_Hall 'I -4 -2'
_cell_length_a 3.967
_cell_length_b 3.967
_cell_length_c 7.756
_cell_angle_alpha 90.00
_cell_angle_beta 90.00
_cell_angle_gamma 90.00
loop_
_atom_site_label
_atom_site_type_symbol
_atom_site_fract_x
_atom_site_fract_y
_atom_site_fract_z
Al1 Al 0.000 0.000 0.000
Mo1 Mo 0.000 0.500 0.750
Pt1 Pt 0.000 0.000 0.500
Pt2 Pt 0.000 0.500 0.250
```

Summary:
E in eV/atom: -7.069

---

16.
First-principles (PBE-GGA) data for a geometry-optimized Ce2Ho2As5 structure, as listed in Alexandria via LeMat-Bulk.

Cell and atoms, written as CIF:
```
data_Ce2Ho2As5
_space_group_name_H-M_alt 'C m c e'
_space_group_IT_number 64
_space_group_name_Hall '-C 2ac 2'
_cell_length_a 14.507
_cell_length_b 7.705
_cell_length_c 7.737
_cell_angle_alpha 90.00
_cell_angle_beta 90.00
_cell_angle_gamma 90.00
loop_
_atom_site_label
_atom_site_type_symbol
_atom_site_fract_x
_atom_site_fract_y
_atom_site_fract_z
Ce1 Ce 0.193 0.000 0.000
Ho1 Ho 0.000 0.157 0.341
As1 As 0.000 0.000 0.000
As2 As 0.137 0.152 0.649
```

Summary:
E in eV/atom: -6.124

---

17.
First-principles (PBE-GGA) data for a geometry-optimized KCdCl2 structure, as listed in Alexandria via LeMat-Bulk.

Cell and atoms, written as CIF:
```
data_KCdCl2
_space_group_name_H-M_alt 'F m -3 m'
_space_group_IT_number 225
_space_group_name_Hall '-F 4 2 3'
_cell_length_a 7.519
_cell_length_b 7.519
_cell_length_c 7.519
_cell_angle_alpha 90.00
_cell_angle_beta 90.00
_cell_angle_gamma 90.00
loop_
_atom_site_label
_atom_site_type_symbol
_atom_site_fract_x
_atom_site_fract_y
_atom_site_fract_z
K1 K 0.000 0.000 0.000
Cd1 Cd 0.000 0.000 0.500
Cl1 Cl 0.250 0.250 0.250
```

Summary:
Energy above the most stable polymorph in this dataset in eV per atom: 0.138

---

18.
First-principles (PBE-GGA) data for a geometry-optimized Ac2PaP2N6 structure, as listed in Alexandria via LeMat-Bulk.

Cell and atoms, written as CIF:
```
data_Ac2PaP2N6
_space_group_name_H-M_alt 'C 1 2/m 1'
_space_group_IT_number 12
_space_group_name_Hall '-C 2y'
_cell_length_a 9.989
_cell_length_b 5.461
_cell_length_c 7.045
_cell_angle_alpha 90.00
_cell_angle_beta 120.06
_cell_angle_gamma 90.00
loop_
_atom_site_label
_atom_site_type_symbol
_atom_site_fract_x
_atom_site_fract_y
_atom_site_fract_z
Ac1 Ac 0.200 0.000 0.173
Pa1 Pa 0.000 0.000 0.500
P1 P 0.062 0.500 0.316
N1 N 0.037 0.250 0.799
N2 N 0.241 0.500 0.354
```

Summary:
E in eV/atom: -8.264

---

19.
First-principles (PBE-GGA) data for a geometry-optimized Cu2PtCl structure, as listed in Alexandria via LeMat-Bulk.

Cell and atoms, written as CIF:
```
data_Cu2PtCl
_space_group_name_H-M_alt 'F -4 3 m'
_space_group_IT_number 216
_space_group_name_Hall 'F -4 2 3'
_cell_length_a 6.198
_cell_length_b 6.198
_cell_length_c 6.198
_cell_angle_alpha 90.00
_cell_angle_beta 90.00
_cell_angle_gamma 90.00
loop_
_atom_site_label
_atom_site_type_symbol
_atom_site_fract_x
_atom_site_fract_y
_atom_site_fract_z
Cu1 Cu 0.000 0.000 0.000
Cu2 Cu 0.250 0.250 0.250
Pt1 Pt 0.250 0.250 0.750
Cl1 Cl 0.000 0.000 0.500
```

Summary:
Energy above the most stable polymorph in this dataset in eV per atom: 0.491

---

20.
First-principles (PBE-GGA) data for a geometry-optimized TbHoScPd structure, as listed in Alexandria via LeMat-Bulk.

Cell and atoms, written as CIF:
```
data_TbHoScPd
_space_group_name_H-M_alt 'F -4 3 m'
_space_group_IT_number 216
_space_group_name_Hall 'F -4 2 3'
_cell_length_a 7.288
_cell_length_b 7.288
_cell_length_c 7.288
_cell_angle_alpha 90.00
_cell_angle_beta 90.00
_cell_angle_gamma 90.00
loop_
_atom_site_label
_atom_site_type_symbol
_atom_site_fract_x
_atom_site_fract_y
_atom_site_fract_z
Tb1 Tb 0.000 0.000 0.000
Ho1 Ho 0.000 0.000 0.500
Sc1 Sc 0.250 0.250 0.250
Pd1 Pd 0.250 0.250 0.750
```

Summary:
E in eV/atom: -5.370

---

21.
First-principles (PBE-GGA) data for a geometry-optimized Li2ScTeO structure, as listed in Alexandria via LeMat-Bulk.

Cell and atoms, written as CIF:
```
data_Li2ScTeO
_space_group_name_H-M_alt 'P 4/m m m'
_space_group_IT_number 123
_space_group_name_Hall '-P 4 2'
_cell_length_a 4.718
_cell_length_b 4.718
_cell_length_c 5.579
_cell_angle_alpha 90.00
_cell_angle_beta 90.00
_cell_angle_gamma 90.00
loop_
_atom_site_label
_atom_site_type_symbol
_atom_site_fract_x
_atom_site_fract_y
_atom_site_fract_z
Li1 Li 0.000 0.500 0.000
Sc1 Sc 0.000 0.000 0.500
Te1 Te 0.000 0.000 0.000
O1 O 0.500 0.500 0.500
```

Summary:
E in eV/atom: -3.811

---

22.
First-principles (PBE-GGA) data for a geometry-optimized CdW3 structure, as listed in Alexandria via LeMat-Bulk.

Cell and atoms, written as CIF:
```
data_CdW3
_space_group_name_H-M_alt 'P 4/m m m'
_space_group_IT_number 123
_space_group_name_Hall '-P 4 2'
_cell_length_a 2.719
_cell_length_b 2.719
_cell_length_c 9.303
_cell_angle_alpha 90.00
_cell_angle_beta 90.00
_cell_angle_gamma 90.00
loop_
_atom_site_label
_atom_site_type_symbol
_atom_site_fract_x
_atom_site_fract_y
_atom_site_fract_z
Cd1 Cd 0.000 0.000 0.000
W1 W 0.000 0.000 0.500
W2 W 0.500 0.500 0.256
```

Summary:
Energy above the most stable polymorph in this dataset in eV per atom: 0.250